VASP calculation (GGA+U) on ScMnPO2 after structural relaxation.

Cell and atoms, written as CIF:
```
data_ScMnPO2
_chemical_formula_sum 'Sc1 Mn1 P1 O2'
_symmetry_space_group_name_H-M 'P 4/m m m'
_symmetry_Int_Tables_number 123
_symmetry_space_group_name_Hall '-P 4 2'
_cell_length_a 3.775
_cell_length_b 3.775
_cell_length_c 4.824
_cell_angle_alpha 90.00
_cell_angle_beta 90.00
_cell_angle_gamma 90.00
loop_
_atom_site_label
_atom_site_type_symbol
_atom_site_fract_x
_atom_site_fract_y
_atom_site_fract_z
Sc1 Sc 0.000 0.000 0.000
Mn1 Mn 0.500 0.500 0.500
P1 P 0.500 0.500 0.000
O1 O 0.000 0.500 0.500
```

Properties
Calculated volume ... 68.7 Å³ per cell
Density ... 3934 kg/m3
Calculated total energy ... -6.91 eV per atom
Size of the total moment ... 3.11 μB per cell